[1]
Entry from the Alexandria database: K3TlF4 after structural relaxation (GGA-PBE).

The structure in extended XYZ format:
```
16
Lattice="5.448 0.000 0.000 0.000 9.226 0.000 0.000 0.000 7.884" Properties=species:S:1:pos:R:3 pbc="T T T"
K 1.362 0.006 1.323
K 1.362 4.607 1.323
K 1.362 6.920 5.260
K 4.086 2.307 2.624
K 4.086 4.619 6.561
K 4.086 9.220 6.561
Tl 1.362 2.307 5.277
Tl 4.086 6.920 2.607
F 1.362 2.307 2.589
F 1.362 4.668 6.591
F 1.362 6.920 2.615
F 1.362 9.172 6.591
F 4.086 0.055 1.293
F 4.086 2.307 5.269
F 4.086 4.558 1.293
F 4.086 6.920 5.295
```

Space-group type: Pmmn (59)
Electronic total energy, eV per cell: -65.56

[2]
Entry from the Alexandria database: Tb2SmHo9 after structural relaxation (GGA-PBE).

The structure in extended XYZ format:
```
12
Lattice="5.004 0.000 0.000 0.000 5.004 0.000 0.000 0.000 15.009" Properties=species:S:1:pos:R:3 pbc="T T T"
Tb 0.000 0.000 2.494
Tb 0.000 0.000 12.514
Sm 0.000 0.000 7.504
Ho 0.000 2.502 0.000
Ho 0.000 2.502 4.987
Ho 0.000 2.502 10.022
Ho 2.502 0.000 0.000
Ho 2.502 0.000 4.987
Ho 2.502 0.000 10.022
Ho 2.502 2.502 2.490
Ho 2.502 2.502 7.504
Ho 2.502 2.502 12.519
```

E_form, kJ per mole of atoms: 2
Space-group type: P4/mmm (123)
Electronic total energy, eV per cell: -54.93

[3]
Entry from the Alexandria database: Sm2Zn5Ni2Ag after structural relaxation (GGA-PBE).

The structure in extended XYZ format:
```
20
Lattice="9.251 0.000 0.000 0.000 9.251 0.000 0.000 0.000 4.158" Properties=species:S:1:pos:R:3 pbc="T T T"
Sm 1.683 2.943 0.000
Sm 2.943 7.568 0.000
Sm 6.309 1.683 0.000
Sm 7.568 6.309 0.000
Zn 0.000 4.626 2.079
Zn 0.538 7.302 2.079
Zn 1.949 0.538 2.079
Zn 2.677 5.164 2.079
Zn 4.087 2.677 2.079
Zn 4.626 0.000 2.079
Zn 5.164 6.574 2.079
Zn 6.574 4.087 2.079
Zn 7.302 8.713 2.079
Zn 8.713 1.949 2.079
Ni 1.023 5.648 0.000
Ni 3.603 1.023 0.000
Ni 5.648 8.228 0.000
Ni 8.228 3.603 0.000
Ag 0.000 0.000 0.000
Ag 4.626 4.626 0.000
```

E_form, kJ per mole of atoms: -26
Space-group type: P4/mbm (127)
Electronic total energy, eV per cell: -65.91

[4]
Entry from the Alexandria database: Tb2Ga9Au after structural relaxation (GGA-PBE).

The structure in extended XYZ format:
```
12
Lattice="4.306 0.000 0.000 0.000 4.306 0.000 0.000 0.000 12.448" Properties=species:S:1:pos:R:3 pbc="T T T"
Tb 0.000 0.000 2.158
Tb 0.000 0.000 10.290
Ga 0.000 2.153 0.000
Ga 0.000 2.153 4.360
Ga 0.000 2.153 8.088
Ga 2.153 0.000 0.000
Ga 2.153 0.000 4.360
Ga 2.153 0.000 8.088
Ga 2.153 2.153 1.998
Ga 2.153 2.153 6.224
Ga 2.153 2.153 10.451
Au 0.000 0.000 6.224
```

E_form, kJ per mole of atoms: -34
Space-group type: P4/mmm (123)
Electronic total energy, eV per cell: -44.05

[5]
Entry from the Alexandria database: GaNiIrRu after structural relaxation (GGA-PBE).

The structure in extended XYZ format:
```
16
Lattice="5.981 0.000 0.000 0.000 5.981 0.000 0.000 0.000 5.981" Properties=species:S:1:pos:R:3 pbc="T T T"
Ga 0.000 0.000 0.000
Ga 0.000 2.991 2.991
Ga 2.991 0.000 2.991
Ga 2.991 2.991 0.000
Ni 0.000 0.000 2.991
Ni 0.000 2.991 0.000
Ni 2.991 0.000 0.000
Ni 2.991 2.991 2.991
Ir 1.495 1.495 4.486
Ir 1.495 4.486 1.495
Ir 4.486 1.495 1.495
Ir 4.486 4.486 4.486
Ru 1.495 1.495 1.495
Ru 1.495 4.486 4.486
Ru 4.486 1.495 4.486
Ru 4.486 4.486 1.495
```

E_form, kJ per mole of atoms: -11
Space-group type: F-43m (216)
Electronic total energy, eV per cell: -109.56

[6]
Entry from the Alexandria database: KCrHg after structural relaxation (GGA-PBE).

The structure in extended XYZ format:
```
3
Lattice="4.881 0.000 0.000 -2.441 4.227 0.000 0.000 0.000 4.813" Properties=species:S:1:pos:R:3 pbc="T T T"
K 0.000 0.000 0.000
Cr 2.441 1.409 2.407
Hg 0.000 2.818 2.407
```

E_form, kJ per mole of atoms: 51
Space-group type: P-6m2 (187)
Electronic total energy, eV per cell: -9.45

- Which of these has the highest electronic total energy?
  KCrHg

- Which value of electronic total energy does entry 5 give?
  -109.56 eV per cell

- Which value of electronic total energy does entry 2 give?
  -54.93 eV per cell